(1)
The following is a DFT calculation (PBE) of a geometry-optimized NdTi2MnN4 structure.

Results
**M_tot**: 0.001 Bohr magnetons per cell
**Raw formation energy**: -1.2071 eV per atom

a b c (Å): 3.1687 10.7860 10.5117
angles (deg): 90.00 90.00 90.00
With the nearest neighbours (Å) after each atom.
Space group Cmcm (No. 63)
Symmetry-distinct sites (fractional):
1 Nd 0.0000 0.1005 0.2500 x4  6 N 2.48-2.59
2 Ti 0.0000 0.3692 0.0427 x8  3 N 1.97-2.17
3 Mn 0.0000 0.1625 0.7500 x4  4 N 1.83-1.84
4 N 0.0000 0.0000 0.0000 x4  4 Ti 2.17
5 N 0.0000 0.2661 0.6116 x8  1 Mn 1.83, 1 Ti 1.97
6 N 0.0000 0.4241 0.2500 x4  2 Mn 1.84



(2)
The following is a DFT calculation (PBE) of a geometry-optimized OsF4 structure.

Results
**M_tot**: 3.994 Bohr magnetons per cell
**Raw formation energy**: -1.5084 eV per atom

a b c (Å): 4.8853 5.7001 5.8463
angles (deg): 61.66 89.89 90.00
With the nearest neighbours (Å) after each atom.
Space group P-1 (No. 2)
Symmetry-distinct sites (fractional):
1 Os 0.0000 0.0000 0.0000 x1  6 F 1.89-2.03
2 Os 0.5000 0.5000 0.0000 x1  6 F 1.89-2.03
3 F 0.2212 0.8566 0.3003 x2  1 Os 1.89
4 F 0.2470 0.3267 0.8479 x2  2 Os 2.03
5 F 0.2537 0.8267 0.8479 x2  2 Os 2.03
6 F 0.2775 0.3565 0.3004 x2  1 Os 1.89